No. 1
{"formula": "Mg2RhAuN", "functional": "PBE", "state": "relaxed", "formation_energy_uncorrected_ev_per_atom": -0.40, "vol_a3_per_atom": 14.82, "spacegroup": "No. 123", "cell": [[4.343, 0.000, 0.000], [0.000, 4.343, 0.000], [0.000, 0.000, 3.928]], "species": ["Mg", "Mg", "Rh", "Au", "N"], "frac_coords": [[0.000, 0.500, 0.000], [0.500, 0.000, 0.000], [0.000, 0.000, 0.500], [0.500, 0.500, 0.500], [0.000, 0.000, 0.000]]}

***

No. 2
{"formula": "PrThTePb", "functional": "PBE", "state": "relaxed", "formation_energy_uncorrected_ev_per_atom": -0.70, "vol_a3_per_atom": 30.05, "spacegroup": "No. 216", "cell": [[0.000, 3.917, 3.917], [3.917, 0.000, 3.917], [3.917, 3.917, 0.000]], "species": ["Pr", "Th", "Te", "Pb"], "frac_coords": [[0.000, 0.000, 0.000], [0.500, 0.500, 0.500], [0.250, 0.250, 0.250], [0.750, 0.750, 0.750]]}

***

No. 3
{"formula": "Zn6Cd2Au", "functional": "PBE", "state": "relaxed", "vol_a3_per_atom": 17.54, "spacegroup": "No. 12", "formation_energy_ev_per_atom": -0.023, "cell": [[4.341, -2.810, 0.000], [4.341, 2.810, 0.000], [-1.406, 0.000, 6.471]], "species": ["Zn", "Zn", "Zn", "Zn", "Zn", "Zn", "Cd", "Cd", "Au"], "frac_coords": [[0.123, 0.656, 0.644], [0.344, 0.877, 0.356], [0.357, 0.357, 0.313], [0.643, 0.643, 0.687], [0.656, 0.123, 0.644], [0.877, 0.344, 0.356], [0.158, 0.158, 0.887], [0.842, 0.842, 0.113], [0.500, 0.500, 0.000]]}

***

No. 4
{"formula": "CePm2Pb", "functional": "PBE", "state": "relaxed", "vol_a3_per_atom": 30.08, "spacegroup": "No. 225", "formation_energy_ev_per_atom": -0.095, "cell": [[0.000, 3.918, 3.918], [3.918, 0.000, 3.918], [3.918, 3.918, 0.000]], "species": ["Ce", "Pm", "Pm", "Pb"], "frac_coords": [[0.000, 0.000, 0.000], [0.250, 0.250, 0.250], [0.750, 0.750, 0.750], [0.500, 0.500, 0.500]]}